The following is a DFT calculation (PBE-GGA) of a relaxed NpTl2PdSe4 crystal.

CIF file:
```
data_NpTl2PdSe4
_cell_length_a 6.414
_cell_length_b 4.110
_cell_length_c 8.365
_cell_angle_alpha 90.00
_cell_angle_beta 107.63
_cell_angle_gamma 90.00
_space_group_name_H-M_alt 'P 1 2/m 1'
_space_group_IT_number 10
_space_group_name_Hall '-P 2y'
loop_
_atom_site_label
_atom_site_fract_x
_atom_site_fract_y
_atom_site_fract_z
_atom_site_occupancy
Np1 0.000 0.000 0.000 1
Tl1 0.000 0.500 0.500 1
Tl2 0.500 0.000 0.500 1
Pd1 0.500 0.500 0.000 1
Se1 0.245 0.500 0.202 1
Se2 0.282 0.000 0.808 1
```

VASP energy = -5.19 eV/atom
Formation energy without anion corrections = -591 meV/atom
Density of states at the Fermi level = 11.6 states/eV/f.u.


The following is a DFT calculation (PBE-GGA) of a relaxed Np2Si7Pd12 crystal.

CIF file:
```
data_Np2Si7Pd12
_cell_length_a 10.0358
_cell_length_b 10.0358
_cell_length_c 3.8435
_cell_angle_alpha 90.00
_cell_angle_beta 90.00
_cell_angle_gamma 120.00
_space_group_name_H-M_alt 'P -3'
_space_group_IT_number 147
_space_group_name_Hall '-P 3'
loop_
_atom_site_label
_atom_site_fract_x
_atom_site_fract_y
_atom_site_fract_z
_atom_site_occupancy
Np1 0.3333 0.6667 0.2534 1
Si1 0.0000 0.0000 0.0000 1
Si2 0.1197 0.4083 0.7504 1
Pd1 0.0591 0.6186 0.7488 1
Pd2 0.1097 0.8528 0.2508 1
```

VASP energy = -6.65 eV/atom
Formation energy without anion corrections = -640 meV/atom
Density of states at the Fermi level = 20.4 states/eV/f.u.


The following is a DFT calculation (PBE-GGA) of a relaxed NpSi3Pd3 crystal.

CIF file:
```
data_NpSi3Pd3
_cell_length_a 8.4408
_cell_length_b 8.4408
_cell_length_c 3.9940
_cell_angle_alpha 90.00
_cell_angle_beta 90.00
_cell_angle_gamma 120.00
_space_group_name_H-M_alt 'P 63/m'
_space_group_IT_number 176
_space_group_name_Hall '-P 6c'
loop_
_atom_site_label
_atom_site_fract_x
_atom_site_fract_y
_atom_site_fract_z
_atom_site_occupancy
Np1 0.3333 0.6667 0.2500 1
Si1 0.0593 0.6174 0.7500 1
Pd1 0.0535 0.3072 0.7500 1
```

VASP energy = -6.71 eV/atom
Formation energy without anion corrections = -314 meV/atom
Density of states at the Fermi level = 11.7 states/eV/f.u.


The following is a DFT calculation (PBE-GGA) of a relaxed Np3Si6Pd20 crystal.

CIF file:
```
data_Np3Si6Pd20
_cell_length_a 12.354
_cell_length_b 12.354
_cell_length_c 12.354
_cell_angle_alpha 90.00
_cell_angle_beta 90.00
_cell_angle_gamma 90.00
_space_group_name_H-M_alt 'F m -3 m'
_space_group_IT_number 225
_space_group_name_Hall '-F 4 2 3'
loop_
_atom_site_label
_atom_site_fract_x
_atom_site_fract_y
_atom_site_fract_z
_atom_site_occupancy
Np1 0.000 0.000 0.000 1
Np2 0.250 0.250 0.250 1
Si1 0.000 0.000 0.268 1
Pd1 0.000 0.173 0.173 1
Pd2 0.116 0.116 0.384 1
```

VASP energy = -6.64 eV/atom
Formation energy without anion corrections = -597 meV/atom
Density of states at the Fermi level = 32.9 states/eV/f.u.


The following is a DFT calculation (PBE-GGA) of a relaxed NpSi2Pd4 crystal.

CIF file:
```
data_NpSi2Pd4
_cell_length_a 7.854
_cell_length_b 7.854
_cell_length_c 3.773
_cell_angle_alpha 90.00
_cell_angle_beta 90.00
_cell_angle_gamma 90.00
_space_group_name_H-M_alt 'P 42/m n m'
_space_group_IT_number 136
_space_group_name_Hall '-P 4n 2n'
loop_
_atom_site_label
_atom_site_fract_x
_atom_site_fract_y
_atom_site_fract_z
_atom_site_occupancy
Np1 0.000 0.000 0.000 1
Si1 0.220 0.220 0.500 1
Pd1 0.082 0.673 0.500 1
```

VASP energy = -6.94 eV/atom
Formation energy without anion corrections = -573 meV/atom
Density of states at the Fermi level = 12.2 states/eV/f.u.


The following is a DFT calculation (PBE-GGA) of a relaxed NpSi4Pd4 crystal.

CIF file:
```
data_NpSi4Pd4
_cell_length_a 6.030
_cell_length_b 6.030
_cell_length_c 8.215
_cell_angle_alpha 90.00
_cell_angle_beta 90.00
_cell_angle_gamma 90.00
_space_group_name_H-M_alt 'P 42/n m c'
_space_group_IT_number 137
loop_
_space_group_symop_operation_xyz
'x,y,z'
'-x,-y,-z'
'-y+1/2,x,z+1/2'
'y+1/2,-x,-z+1/2'
'-x+1/2,-y+1/2,z'
'x+1/2,y+1/2,-z'
'y,-x+1/2,z+1/2'
'-y,x+1/2,-z+1/2'
'x+1/2,-y,-z'
'-x+1/2,y,z'
'-y,-x,-z+1/2'
'y,x,z+1/2'
'-x,y+1/2,-z'
'x,-y+1/2,z'
'y+1/2,x+1/2,-z+1/2'
'-y+1/2,-x+1/2,z+1/2'
loop_
_atom_site_label
_atom_site_fract_x
_atom_site_fract_y
_atom_site_fract_z
_atom_site_occupancy
Np1 0.250 0.750 0.250 1
Si1 0.048 0.250 0.068 1
Pd1 0.017 0.250 0.366 1
```

VASP energy = -6.59 eV/atom
Formation energy without anion corrections = -431 meV/atom
Density of states at the Fermi level = 15.1 states/eV/f.u.


The following is a DFT calculation (PBE-GGA) of a relaxed NpSi4Pd8 crystal.

CIF file:
```
data_NpSi4Pd8
_cell_length_a 8.715
_cell_length_b 8.715
_cell_length_c 5.299
_cell_angle_alpha 90.00
_cell_angle_beta 90.00
_cell_angle_gamma 90.00
_space_group_name_H-M_alt 'I 4/m m m'
_space_group_IT_number 139
_space_group_name_Hall '-I 4 2'
loop_
_atom_site_label
_atom_site_fract_x
_atom_site_fract_y
_atom_site_fract_z
_atom_site_occupancy
Np1 0.000 0.000 0.000 1
Si1 0.250 0.250 0.250 1
Pd1 0.000 0.224 0.500 1
Pd2 0.000 0.328 0.000 1
```

VASP energy = -6.37 eV/atom
Formation energy without anion corrections = -507 meV/atom
Density of states at the Fermi level = 16.0 states/eV/f.u.


The following is a DFT calculation (PBE-GGA) of a relaxed NpSi2Pd5 crystal.

CIF file:
```
data_NpSi2Pd5
_cell_length_a 3.879
_cell_length_b 7.122
_cell_length_c 9.687
_cell_angle_alpha 90.00
_cell_angle_beta 90.00
_cell_angle_gamma 90.00
_space_group_name_H-M_alt 'I m m m'
_space_group_IT_number 71
_space_group_name_Hall '-I 2 2'
loop_
_atom_site_label
_atom_site_fract_x
_atom_site_fract_y
_atom_site_fract_z
_atom_site_occupancy
Np1 0.000 0.000 0.000 1
Si1 0.000 0.500 0.249 1
Pd1 0.000 0.196 0.350 1
Pd2 0.000 0.500 0.000 1
```

VASP energy = -6.78 eV/atom
Formation energy without anion corrections = -557 meV/atom
Density of states at the Fermi level = 10.0 states/eV/f.u.


The following is a DFT calculation (PBE-GGA) of a relaxed NpSi3Pd5 crystal.

CIF file:
```
data_NpSi3Pd5
_cell_length_a 2.943
_cell_length_b 13.457
_cell_length_c 14.592
_cell_angle_alpha 90.00
_cell_angle_beta 90.00
_cell_angle_gamma 90.00
_space_group_name_H-M_alt 'C m c m'
_space_group_IT_number 63
_space_group_name_Hall '-C 2c 2'
loop_
_atom_site_label
_atom_site_fract_x
_atom_site_fract_y
_atom_site_fract_z
_atom_site_occupancy
Np1 0.000 0.162 0.250 1
Si1 0.000 0.139 0.750 1
Si2 0.000 0.368 0.561 1
Pd1 0.000 0.000 0.000 1
Pd2 0.000 0.194 0.575 1
Pd3 0.000 0.474 0.159 1
```

VASP energy = -6.61 eV/atom
Formation energy without anion corrections = -482 meV/atom
Density of states at the Fermi level = 8.0 states/eV/f.u.


The following is a DFT calculation (PBE-GGA) of a relaxed Np2Si6Pd21 crystal.

CIF file:
```
data_Np2Si6Pd21
_cell_length_a 12.259
_cell_length_b 12.259
_cell_length_c 12.259
_cell_angle_alpha 90.00
_cell_angle_beta 90.00
_cell_angle_gamma 90.00
_space_group_name_H-M_alt 'F m -3 m'
_space_group_IT_number 225
_space_group_name_Hall '-F 4 2 3'
loop_
_atom_site_label
_atom_site_fract_x
_atom_site_fract_y
_atom_site_fract_z
_atom_site_occupancy
Np1 0.250 0.250 0.250 1
Si1 0.000 0.000 0.236 1
Pd1 0.000 0.000 0.500 1
Pd2 0.000 0.173 0.327 1
Pd3 0.116 0.116 0.116 1
```

VASP energy = -6.36 eV/atom
Formation energy without anion corrections = -584 meV/atom
Density of states at the Fermi level = 26.9 states/eV/f.u.


The following is a DFT calculation (PBE-GGA) of a relaxed NpSi2Pd3 crystal.

CIF file:
```
data_NpSi2Pd3
_cell_length_a 16.444
_cell_length_b 3.949
_cell_length_c 9.922
_cell_angle_alpha 90.00
_cell_angle_beta 108.17
_cell_angle_gamma 90.00
_space_group_name_H-M_alt 'C 1 2/m 1'
_space_group_IT_number 12
_space_group_name_Hall '-C 2y'
loop_
_atom_site_label
_atom_site_fract_x
_atom_site_fract_y
_atom_site_fract_z
_atom_site_occupancy
Np1 0.000 0.000 0.000 1
Np2 0.156 0.000 0.699 1
Si1 0.039 0.500 0.780 1
Si2 0.137 0.500 0.454 1
Si3 0.200 0.000 0.134 1
Pd1 0.000 0.500 0.500 1
Pd2 0.041 0.000 0.332 1
Pd3 0.123 0.500 0.200 1
Pd4 0.179 0.500 0.965 1
Pd5 0.219 0.000 0.393 1
```

VASP energy = -7.15 eV/atom
Formation energy without anion corrections = -587 meV/atom
Density of states at the Fermi level = 10.6 states/eV/f.u.


The following is a DFT calculation (PBE-GGA) of a relaxed SmNpPd14 crystal.

CIF file:
```
data_SmNpPd14
_cell_length_a 5.831
_cell_length_b 5.831
_cell_length_c 7.833
_cell_angle_alpha 90.00
_cell_angle_beta 90.00
_cell_angle_gamma 90.00
_space_group_name_H-M_alt 'P 4/m m m'
_space_group_IT_number 123
_space_group_name_Hall '-P 4 2'
loop_
_atom_site_label
_atom_site_fract_x
_atom_site_fract_y
_atom_site_fract_z
_atom_site_occupancy
Sm1 0.000 0.000 0.000 1
Np1 0.500 0.500 0.000 1
Pd1 0.000 0.000 0.500 1
Pd2 0.000 0.500 0.000 1
Pd3 0.000 0.500 0.500 1
Pd4 0.254 0.254 0.257 1
Pd5 0.500 0.500 0.500 1
```

VASP energy = -5.96 eV/atom
Formation enthalpy at 0 K = -0.314 eV/atom
Density of states at the Fermi level = 25.6 states/eV/f.u.


The following is a DFT calculation (PBE-GGA) of a relaxed SmNpPd6 crystal.

CIF file:
```
data_SmNpPd6
_cell_length_a 4.150
_cell_length_b 4.150
_cell_length_c 8.307
_cell_angle_alpha 90.00
_cell_angle_beta 90.00
_cell_angle_gamma 90.00
_space_group_name_H-M_alt 'P 4/m m m'
_space_group_IT_number 123
_space_group_name_Hall '-P 4 2'
loop_
_atom_site_label
_atom_site_fract_x
_atom_site_fract_y
_atom_site_fract_z
_atom_site_occupancy
Sm1 0.000 0.000 0.000 1
Np1 0.000 0.000 0.500 1
Pd1 0.000 0.500 0.256 1
Pd2 0.500 0.500 0.000 1
Pd3 0.500 0.500 0.500 1
```

VASP energy = -6.75 eV/atom
Formation enthalpy at 0 K = -0.644 eV/atom
Density of states at the Fermi level = 13.9 states/eV/f.u.


The following is a DFT calculation (PBE-GGA) of a relaxed SmNp4Pd15 crystal.

CIF file:
```
data_SmNp4Pd15
_cell_length_a 4.147
_cell_length_b 4.147
_cell_length_c 20.768
_cell_angle_alpha 90.00
_cell_angle_beta 90.00
_cell_angle_gamma 90.00
_space_group_name_H-M_alt 'P 4/m m m'
_space_group_IT_number 123
_space_group_name_Hall '-P 4 2'
loop_
_atom_site_label
_atom_site_fract_x
_atom_site_fract_y
_atom_site_fract_z
_atom_site_occupancy
Sm1 0.000 0.000 0.000 1
Np1 0.000 0.000 0.200 1
Np2 0.000 0.000 0.400 1
Pd1 0.000 0.500 0.102 1
Pd2 0.000 0.500 0.300 1
Pd3 0.000 0.500 0.500 1
Pd4 0.500 0.500 0.000 1
Pd5 0.500 0.500 0.201 1
Pd6 0.500 0.500 0.400 1
```

VASP energy = -7.24 eV/atom
Formation enthalpy at 0 K = -0.520 eV/atom
Density of states at the Fermi level = 51.5 states/eV/f.u.


The following is a DFT calculation (PBE-GGA) of a relaxed SmNpTe3Pd crystal.

CIF file:
```
data_SmNpTe3Pd
_cell_length_a 8.466
_cell_length_b 4.228
_cell_length_c 9.941
_cell_angle_alpha 90.00
_cell_angle_beta 100.31
_cell_angle_gamma 90.00
_space_group_name_H-M_alt 'P 1 21/m 1'
_space_group_IT_number 11
_space_group_name_Hall '-P 2yb'
loop_
_atom_site_label
_atom_site_fract_x
_atom_site_fract_y
_atom_site_fract_z
_atom_site_occupancy
Sm1 0.173 0.250 0.181 1
Np1 0.328 0.750 0.723 1
Te1 0.103 0.250 0.846 1
Te2 0.238 0.250 0.491 1
Te3 0.425 0.750 0.135 1
Pd1 0.416 0.750 0.408 1
```

VASP energy = -6.31 eV/atom
Formation energy without anion corrections = -930 meV/atom
Density of states at the Fermi level = 8.0 states/eV/f.u.


The following is a DFT calculation (PBE-GGA) of a relaxed NpSnPd crystal.

CIF file:
```
data_NpSnPd
_cell_length_a 8.204
_cell_length_b 3.425
_cell_length_c 8.764
_cell_angle_alpha 90.00
_cell_angle_beta 90.00
_cell_angle_gamma 90.00
_space_group_name_H-M_alt 'P n m a'
_space_group_IT_number 62
_space_group_name_Hall '-P 2ac 2n'
loop_
_atom_site_label
_atom_site_fract_x
_atom_site_fract_y
_atom_site_fract_z
_atom_site_occupancy
Np1 0.004 0.250 0.096 1
Sn1 0.155 0.250 0.603 1
Pd1 0.174 0.750 0.363 1
```

VASP energy = -7.72 eV/atom
Formation enthalpy at 0 K = -0.344 eV/atom
Density of states at the Fermi level = 4.9 states/eV/f.u.


The following is a DFT calculation (PBE-GGA) of a relaxed NpSn2Pd crystal.

CIF file:
```
data_NpSn2Pd
_cell_length_a 4.502
_cell_length_b 4.502
_cell_length_c 4.475
_cell_angle_alpha 90.00
_cell_angle_beta 90.00
_cell_angle_gamma 90.00
_space_group_name_H-M_alt 'P 4/m m m'
_space_group_IT_number 123
_space_group_name_Hall '-P 4 2'
loop_
_atom_site_label
_atom_site_fract_x
_atom_site_fract_y
_atom_site_fract_z
_atom_site_occupancy
Np1 0.000 0.000 0.000 1
Sn1 0.000 0.500 0.500 1
Pd1 0.500 0.500 0.000 1
```

VASP energy = -6.70 eV/atom
Offset from the most stable computed form = 0.0464 eV per atom
Formation enthalpy at 0 K = -0.167 eV/atom
Density of states at the Fermi level = 10.9 states/eV/f.u.


The following is a DFT calculation (PBE-GGA) of a relaxed Np4Sn8Pd crystal.

CIF file:
```
data_Np4Sn8Pd
_cell_length_a 4.393
_cell_length_b 4.582
_cell_length_c 16.435
_cell_angle_alpha 90.00
_cell_angle_beta 90.00
_cell_angle_gamma 90.00
_space_group_name_H-M_alt 'P m m 2'
_space_group_IT_number 25
_space_group_name_Hall 'P 2 -2'
loop_
_atom_site_label
_atom_site_fract_x
_atom_site_fract_y
_atom_site_fract_z
_atom_site_occupancy
Np1 0.000 0.000 0.000 1
Np2 0.000 0.500 0.474 1
Np3 0.500 0.000 0.797 1
Np4 0.500 0.500 0.302 1
Sn1 0.000 0.000 0.320 1
Sn2 0.000 0.000 0.618 1
Sn3 0.000 0.500 0.149 1
Sn4 0.000 0.500 0.860 1
Sn5 0.500 0.000 0.153 1
Sn6 0.500 0.000 0.451 1
Sn7 0.500 0.500 0.614 1
Sn8 0.500 0.500 0.981 1
Pd1 0.000 0.500 0.703 1
```

VASP energy = -6.92 eV/atom
Formation enthalpy at 0 K = -0.076 eV/atom
Density of states at the Fermi level = 40.3 states/eV/f.u.